Below is a relaxed Sc3IrC4 crystal, with properties calculated at the PBE-GGA level.

DFT total energy	-134.11	eV/cell
total moment	0.00	μB per cell
V	105.8	Å³/f.u.

Structure (CIF):
```
data_Sc3IrC4
_cell_length_a 15.857
_cell_length_b 3.355
_cell_length_c 4.076
_cell_angle_alpha 90.00
_cell_angle_beta 102.63
_cell_angle_gamma 90.00
_symmetry_space_group_name_H-M 'C 1 2/m 1'
_symmetry_Int_Tables_number 12
_symmetry_space_group_name_Hall '-C 2y'
loop_
_atom_site_label
_atom_site_fract_x
_atom_site_fract_y
_atom_site_fract_z
Sc1 0.000 0.000 0.000
Sc2 0.179 0.000 0.702
Ir1 0.000 0.500 0.500
C1 0.105 0.500 0.315
C2 0.179 0.500 0.211
```


Below is a relaxed NiPt2Se2 crystal, with properties calculated at the PBE-GGA level.

DFT total energy	-47.48	eV/cell
total moment	0.00	μB per cell
V	85.1	Å³/f.u.

Structure (CIF):
```
data_NiPt2Se2
_cell_length_a 6.708
_cell_length_b 6.708
_cell_length_c 3.782
_cell_angle_alpha 90.00
_cell_angle_beta 90.00
_cell_angle_gamma 90.00
_symmetry_space_group_name_H-M 'P 4/m b m'
_symmetry_Int_Tables_number 127
_symmetry_space_group_name_Hall '-P 4 2ab'
loop_
_atom_site_label
_atom_site_fract_x
_atom_site_fract_y
_atom_site_fract_z
Ni1 0.000 0.000 0.000
Pt1 0.146 0.354 0.500
Se1 0.174 0.674 0.000
```


Below is a relaxed Zn3MoRh crystal, with properties calculated at the PBE-GGA level.

total moment	0.00	μB per cell
V	96.1	Å³/f.u.
polymorph energy (0 for the lowest one)	0	meV/atom

Structure (CIF):
```
data_Zn3MoRh
_cell_length_a 4.580
_cell_length_b 4.580
_cell_length_c 4.580
_cell_angle_alpha 90.00
_cell_angle_beta 90.00
_cell_angle_gamma 90.00
_symmetry_space_group_name_H-M 'P m -3 m'
_symmetry_Int_Tables_number 221
_symmetry_space_group_name_Hall '-P 4 2 3'
loop_
_atom_site_label
_atom_site_fract_x
_atom_site_fract_y
_atom_site_fract_z
Zn1 0.000 0.000 0.500
Mo1 0.500 0.500 0.500
Rh1 0.000 0.000 0.000
```


Below is a relaxed AlRhSe3 crystal, with properties calculated at the PBE-GGA level.

total moment	1.59	μB per cell
V	110.5	Å³/f.u.
polymorph energy (0 for the lowest one)	177	meV/atom

Structure (CIF):
```
data_AlRhSe3
_cell_length_a 4.799
_cell_length_b 4.799
_cell_length_c 4.799
_cell_angle_alpha 90.00
_cell_angle_beta 90.00
_cell_angle_gamma 90.00
_symmetry_space_group_name_H-M 'P m -3 m'
_symmetry_Int_Tables_number 221
_symmetry_space_group_name_Hall '-P 4 2 3'
loop_
_atom_site_label
_atom_site_fract_x
_atom_site_fract_y
_atom_site_fract_z
Al1 0.000 0.000 0.000
Rh1 0.500 0.500 0.500
Se1 0.000 0.000 0.500
```


Below is a relaxed LaCu3Os crystal, with properties calculated at the PBE-GGA level.

total moment	0.00	μB per cell
V	103.4	Å³/f.u.
polymorph energy (0 for the lowest one)	0	meV/atom

Structure (CIF):
```
data_LaCu3Os
_cell_length_a 4.694
_cell_length_b 4.694
_cell_length_c 4.694
_cell_angle_alpha 90.00
_cell_angle_beta 90.00
_cell_angle_gamma 90.00
_symmetry_space_group_name_H-M 'P m -3 m'
_symmetry_Int_Tables_number 221
_symmetry_space_group_name_Hall '-P 4 2 3'
loop_
_atom_site_label
_atom_site_fract_x
_atom_site_fract_y
_atom_site_fract_z
La1 0.000 0.000 0.000
Cu1 0.000 0.500 0.500
Os1 0.500 0.500 0.500
```


Below is a relaxed Tm7Tl2Os2 crystal, with properties calculated at the PBE-GGA level.

DFT total energy	-121.08	eV/cell
total moment	0.00	μB per cell
V	308.0	Å³/f.u.

Structure (CIF):
```
data_Tm7Tl2Os2
_cell_length_a 8.170
_cell_length_b 10.691
_cell_length_c 7.052
_cell_angle_alpha 90.00
_cell_angle_beta 90.00
_cell_angle_gamma 90.00
_symmetry_space_group_name_H-M 'C m m m'
_symmetry_Int_Tables_number 65
_symmetry_space_group_name_Hall '-C 2 2'
loop_
_atom_site_label
_atom_site_fract_x
_atom_site_fract_y
_atom_site_fract_z
Tm1 0.000 0.000 0.000
Tm2 0.000 0.500 0.237
Tm3 0.250 0.250 0.246
Tl1 0.183 0.000 0.500
Os1 0.000 0.290 0.000
```


- Among the records above, which one has the highest V?
  Tm7Tl2Os2


- The lowest V belongs to which entry?
  NiPt2Se2


- What is the total moment in the sixth record?
  0.00 μB per cell